# 1
Density functional theory data (GGA-PBE) for a geometry-optimized Sb3Br7O structure.

Cell lengths 7.910, 7.910, 7.163 Å; angles 90.00, 90.00, 120.00 degrees
Sites, in units of the cell vectors:
Sb: 0.028 0.514 0.000
Sb: 0.486 0.514 0.000
Sb: 0.486 0.972 0.000
Br: 0.166 0.332 0.248
Br: 0.166 0.834 0.248
Br: 0.328 0.164 0.774
Br: 0.667 0.333 0.241
Br: 0.668 0.834 0.248
Br: 0.836 0.164 0.774
Br: 0.836 0.672 0.774
O: 0.333 0.667 0.906

Output
The volume comes out at 35.3 A^3/atom. The calculation puts the total energy at -3.2885 eV/atom. For the uncorrected formation energy, the calculation gives -649 meV/atom. For the size of the total moment, the calculation gives 0.0 μB per cell.



# 2
Density functional theory data (GGA-PBE) for a geometry-optimized Ca3ScMo structure.

Cell lengths 5.408, 5.408, 5.408 Å; angles 90.00, 90.00, 90.00 degrees
Sites, in units of the cell vectors:
Ca: 0.000 0.000 0.500
Ca: 0.000 0.500 0.000
Ca: 0.500 0.000 0.000
Sc: 0.000 0.000 0.000
Mo: 0.500 0.500 0.500

Output
The volume comes out at 31.6 A^3/atom. The calculation puts the total energy at -2.8446 eV/atom. As for the energy above the most stable polymorph in this dataset: 864 meV per atom. For the formation enthalpy at 0 K, the calculation gives 1.79 eV/atom. For the size of the total moment, the calculation gives 0.0 μB per cell.



# 3
Density functional theory data (GGA-PBE) for a geometry-optimized Al2C structure.

Cell lengths 4.128, 4.128, 5.001 Å; angles 90.00, 90.00, 120.00 degrees
Sites, in units of the cell vectors:
Al: 0.000 0.000 0.000
Al: 0.000 0.000 0.500
Al: 0.333 0.667 0.250
Al: 0.667 0.333 0.750
C: 0.333 0.667 0.750
C: 0.667 0.333 0.250

Output
The volume comes out at 12.3 A^3/atom. The calculation puts the total energy at -4.5061 eV/atom. For the formation enthalpy at 0 K, the calculation gives 1.06 eV/atom. For the size of the total moment, the calculation gives 0.0 μB per cell.